No. 1
NbAlTlIr2 PBE optimized geometry; calculated formation energy = 481 kJ/mol of formula units; DOS at the Fermi energy = 3.6 states/eV/f.u.; space group = P4/mmm, No. 123; total DFT energy (no corrections) = -5.7832 eV/atom
1.0
4.456 0.000 0.000
0.000 4.456 0.000
0.000 0.000 4.949
Nb Al Tl Ir
1 1 1 2
direct
0.000 0.000 0.000
0.500 0.500 0.500
0.500 0.500 0.000
0.000 0.500 0.500
0.500 0.000 0.500

---

No. 2
CrNi2Sb PBE optimized geometry; DOS at the Fermi energy = 3.9 states/eV/f.u.; space group = P4/mmm, No. 123; raw formation energy = 0.53 eV/f.u.; total DFT energy (no corrections) = -6.1941 eV/atom
1.0
3.220 0.000 0.000
0.000 3.220 0.000
0.000 0.000 5.547
Cr Ni Sb
1 2 1
direct
0.000 0.000 0.000
0.500 0.500 0.225
0.500 0.500 0.775
0.000 0.000 0.500

---

No. 3
TmTlNi PBE optimized geometry; calculated formation energy = -53 kJ/mol of formula units; DOS at the Fermi energy = 2.3 states/eV/f.u.; space group = I4mm, No. 107; total DFT energy (no corrections) = -4.3880 eV/atom
1.0
-1.672 1.672 5.549
1.672 -1.672 5.549
1.672 1.672 -5.549
Tm Tl Ni
1 1 1
direct
0.000 0.000 0.000
0.712 0.712 0.000
0.360 0.360 0.000

---

No. 4
LiSc2Hg2 PBE optimized geometry; calculated formation energy = -146 kJ/mol of formula units; energy above the most stable polymorph in this dataset = 0 meV/atom; DOS at the Fermi energy = 2.8 states/eV/f.u.; space group = P4/mbm, No. 127; total DFT energy (no corrections) = -3.3397 eV/atom
1.0
7.828 0.000 0.000
0.000 7.828 0.000
0.000 0.000 3.667
Li Sc Hg
2 4 4
direct
0.000 0.000 0.000
0.500 0.500 0.000
0.157 0.343 0.500
0.343 0.843 0.500
0.657 0.157 0.500
0.843 0.657 0.500
0.143 0.643 0.000
0.357 0.143 0.000
0.643 0.857 0.000
0.857 0.357 0.000

---

No. 5
YGaH PBE optimized geometry; energy above the most stable polymorph in this dataset = 37 meV/atom; DOS at the Fermi energy = 1.9 states/eV/f.u.; space group = I4mm, No. 107; total DFT energy (no corrections) = -4.4408 eV/atom
1.0
-1.564 1.564 5.468
1.564 -1.564 5.468
1.564 1.564 -5.468
Y Ga H
1 1 1
direct
0.000 0.000 0.000
0.279 0.279 0.000
0.546 0.546 0.000

---

No. 6
TbNd5SmTm2 PBE optimized geometry; calculated formation energy = 128 kJ/mol of formula units; DOS at the Fermi energy = 14.3 states/eV/f.u.; space group = Cmc2_1, No. 36; total DFT energy (no corrections) = -4.5339 eV/atom
1.0
2.831 -10.202 0.000
2.831 10.202 0.000
0.000 0.000 10.730
Tb Nd Sm Tm
2 10 2 4
direct
0.089 0.911 0.500
0.911 0.089 0.000
0.020 0.980 0.785
0.111 0.889 0.067
0.203 0.797 0.747
0.219 0.781 0.353
0.484 0.516 0.064
0.516 0.484 0.564
0.781 0.219 0.853
0.797 0.203 0.247
0.889 0.111 0.567
0.980 0.020 0.285
0.300 0.700 0.053
0.700 0.300 0.553
0.384 0.616 0.358
0.389 0.611 0.782
0.611 0.389 0.282
0.616 0.384 0.858

---

No. 7
Sm12Er5Pu PBE optimized geometry; calculated formation energy = 61 kJ/mol of formula units; DOS at the Fermi energy = 27.9 states/eV/f.u.; space group = C2/m, No. 12; total DFT energy (no corrections) = -5.1749 eV/atom
1.0
9.291 -5.373 0.000
9.291 5.373 0.000
-2.031 0.000 5.858
Sm Er Pu
12 5 1
direct
0.001 0.330 0.500
0.164 0.836 0.000
0.167 0.499 0.000
0.330 0.001 0.500
0.332 0.668 0.500
0.499 0.167 0.000
0.501 0.833 0.000
0.668 0.332 0.500
0.670 0.999 0.500
0.833 0.501 0.000
0.836 0.164 0.000
0.999 0.670 0.500
0.166 0.166 0.996
0.333 0.333 0.498
0.500 0.500 0.000
0.667 0.667 0.502
0.834 0.834 0.004
0.000 0.000 0.500

---

No. 8
CePrIn PBE optimized geometry; calculated formation energy = -59 kJ/mol of formula units; energy above the most stable polymorph in this dataset = 85 meV/atom; DOS at the Fermi energy = 7.5 states/eV/f.u.; space group = I4mm, No. 107; total DFT energy (no corrections) = -4.6882 eV/atom
1.0
-2.093 2.093 5.044
2.093 -2.093 5.044
2.093 2.093 -5.044
Ce Pr In
1 1 1
direct
0.000 0.000 0.000
0.316 0.316 0.000
0.656 0.656 0.000